# 1
# PIN3 | Alexandria via LeMat-Bulk | PBE | optimized geometry
# * uncorrected formation energy: 7.35 eV per formula unit
# * DOS at the Fermi energy: 0.3363 states/eV per atom
# * energy: -4.92 eV/atom
data_PIN3
_chemical_formula_sum 'P1 I1 N3'
_cell_length_a 3.634
_cell_length_b 3.634
_cell_length_c 3.634
_cell_angle_alpha 90.00
_cell_angle_beta 90.00
_cell_angle_gamma 90.00
_symmetry_space_group_name_H-M 'P m -3 m'
_symmetry_Int_Tables_number 221
_symmetry_space_group_name_Hall '-P 4 2 3'
loop_
_atom_site_label
_atom_site_type_symbol
_atom_site_fract_x
_atom_site_fract_y
_atom_site_fract_z
P1 P 0.000 0.000 0.000
I1 I 0.500 0.500 0.500
N1 N 0.000 0.000 0.500

***

# 2
# TlTeRu2 | Alexandria via LeMat-Bulk | PBE | optimized geometry
# * uncorrected formation energy: 2.75 eV per formula unit
# * DOS at the Fermi energy: 1.3988 states/eV per atom
# * energy: -5.33 eV/atom
data_TlTeRu2
_chemical_formula_sum 'Tl2 Te2 Ru4'
_cell_length_a 3.895
_cell_length_b 3.895
_cell_length_c 9.906
_cell_angle_alpha 90.00
_cell_angle_beta 90.00
_cell_angle_gamma 90.00
_symmetry_space_group_name_H-M 'I -4 m 2'
_symmetry_Int_Tables_number 119
_symmetry_space_group_name_Hall 'I -4 -2'
loop_
_atom_site_label
_atom_site_type_symbol
_atom_site_fract_x
_atom_site_fract_y
_atom_site_fract_z
Tl1 Tl 0.000 0.000 0.000
Te1 Te 0.000 0.500 0.250
Ru1 Ru 0.000 0.000 0.500
Ru2 Ru 0.000 0.500 0.750

***

# 3
# BeCd2S | Alexandria via LeMat-Bulk | PBE | optimized geometry
# * uncorrected formation energy: 1.07 eV per formula unit
# * DOS at the Fermi energy: 0.0422 states/eV per atom
# * energy: -2.15 eV/atom
data_BeCd2S
_chemical_formula_sum 'Be4 Cd8 S4'
_cell_length_a 6.505
_cell_length_b 6.505
_cell_length_c 8.525
_cell_angle_alpha 90.00
_cell_angle_beta 90.00
_cell_angle_gamma 90.00
_symmetry_space_group_name_H-M 'I -4 2 d'
_symmetry_Int_Tables_number 122
_symmetry_space_group_name_Hall 'I -4 2bw'
loop_
_atom_site_label
_atom_site_type_symbol
_atom_site_fract_x
_atom_site_fract_y
_atom_site_fract_z
Be1 Be 0.000 0.000 0.000
Cd1 Cd 0.239 0.250 0.125
S1 S 0.000 0.000 0.500

***

Question: Look up the DOS at the Fermi energy of the second one.
Answer: 1.3988 states/eV per atom

***

Question: Look up the energy of the first one.
Answer: -4.92 eV/atom